# 1
A relaxed Pr2ZnPt6 crystal. Source: the Alexandria database, functional PBE-GGA.

As for the formation energy: -82 kJ per mole of atoms. The total energy is -6.080 eV per atom.

The space group is P-3m1 (No. 164) and the conventional cell measures 5.7133, 5.7133 and 6.0970 Å, with angles of 90.00, 90.00 and 120.00 degrees. Symmetry generates all atoms from Pr at (0.3333, 0.6667, 0.3445), Zn at (0.0000, 0.0000, 0.5000) and Pt at (0.1726, 0.3451, 0.8150).

# 2
A relaxed PrZnPt2 crystal. Source: the Alexandria database, functional PBE-GGA.

As for the formation energy: -67 kJ per mole of atoms. The total energy is -5.232 eV per atom.

The space group is P4/mmm (No. 123) and the conventional cell measures 3.414, 3.414 and 6.639 Å, with angles of 90.00, 90.00 and 90.00 degrees. Symmetry generates all atoms from Pr at (0.000, 0.000, 0.000), Zn at (0.000, 0.000, 0.500) and Pt at (0.500, 0.500, 0.292).

# 3
A relaxed Pr3ZnPt4 crystal. Source: the Alexandria database, functional PBE-GGA.

As for the formation energy: -88 kJ per mole of atoms. The total energy is -5.883 eV per atom.

The space group is Immm (No. 71) and the conventional cell measures 4.200, 6.378 and 14.735 Å, with angles of 90.00, 90.00 and 90.00 degrees. Symmetry generates all atoms from Pr at (0.000, 0.000, 0.000), Pr at (0.000, 0.500, 0.191), Zn at (0.000, 0.000, 0.500) and Pt at (0.000, 0.289, 0.380).

> Which of these has the highest formation energy?

PrZnPt2